Arrangement a

First-principles (PBE) data for a geometry-optimized CaNd3Bi2 structure, as listed in Alexandria via LeMat-Bulk.

V: 32.91 Å³/atom

CIF file:
```
data_CaNd3Bi2
_space_group_name_H-M_alt 'P -4 m 2'
_space_group_IT_number 115
_space_group_name_Hall 'P -4 -2'
_cell_length_a 4.6802
_cell_length_b 4.6802
_cell_length_c 9.0142
_cell_angle_alpha 90.00
_cell_angle_beta 90.00
_cell_angle_gamma 90.00
loop_
_atom_site_label
_atom_site_type_symbol
_atom_site_fract_x
_atom_site_fract_y
_atom_site_fract_z
Ca1 Ca 0.0000 0.0000 0.0000
Nd1 Nd 0.0000 0.5000 0.3521
Nd2 Nd 0.5000 0.5000 0.0000
Bi1 Bi 0.0000 0.5000 0.7187
```

Arrangement b

First-principles (PBE) data for a geometry-optimized CaNd3Bi2 structure, as listed in Alexandria via LeMat-Bulk.

V: 33.66 Å³/atom

CIF file:
```
data_CaNd3Bi2
_space_group_name_H-M_alt 'C 1 2/m 1'
_space_group_IT_number 12
_space_group_name_Hall '-C 2y'
_cell_length_a 18.9973
_cell_length_b 4.5687
_cell_length_c 10.3509
_cell_angle_alpha 90.00
_cell_angle_beta 115.94
_cell_angle_gamma 90.00
loop_
_atom_site_label
_atom_site_type_symbol
_atom_site_fract_x
_atom_site_fract_y
_atom_site_fract_z
Ca1 Ca 0.1091 0.0000 0.1087
Nd1 Nd 0.0557 0.0000 0.6708
Nd2 Nd 0.1473 0.5000 0.4753
Nd3 Nd 0.1895 0.5000 0.8874
Bi1 Bi 0.0054 0.5000 0.8369
Bi2 Bi 0.2487 0.0000 0.7184
```

Which structure is most stable? arrangement a, by 83 meV per atom over the runner-up.

Arrangement a

First-principles (PBE) data for a geometry-optimized CaNdBi2 structure, as listed in Alexandria via LeMat-Bulk.

V: 31.76 Å³/atom

CIF file:
```
data_CaNdBi2
_space_group_name_H-M_alt 'F m -3 m'
_space_group_IT_number 225
_space_group_name_Hall '-F 4 2 3'
_cell_length_a 7.9798
_cell_length_b 7.9798
_cell_length_c 7.9798
_cell_angle_alpha 90.00
_cell_angle_beta 90.00
_cell_angle_gamma 90.00
loop_
_atom_site_label
_atom_site_type_symbol
_atom_site_fract_x
_atom_site_fract_y
_atom_site_fract_z
Ca1 Ca 0.0000 0.0000 0.0000
Nd1 Nd 0.0000 0.0000 0.5000
Bi1 Bi 0.2500 0.2500 0.2500
```

Arrangement b

First-principles (PBE) data for a geometry-optimized CaNdBi2 structure, as listed in Alexandria via LeMat-Bulk.

V: 31.41 Å³/atom

CIF file:
```
data_CaNdBi2
_space_group_name_H-M_alt 'P 4/m m m'
_space_group_IT_number 123
_space_group_name_Hall '-P 4 2'
_cell_length_a 4.2321
_cell_length_b 4.2321
_cell_length_c 7.0145
_cell_angle_alpha 90.00
_cell_angle_beta 90.00
_cell_angle_gamma 90.00
loop_
_atom_site_label
_atom_site_type_symbol
_atom_site_fract_x
_atom_site_fract_y
_atom_site_fract_z
Ca1 Ca 0.0000 0.0000 0.0000
Nd1 Nd 0.0000 0.0000 0.5000
Bi1 Bi 0.5000 0.5000 0.2547
```

Arrangement c

First-principles (PBE) data for a geometry-optimized CaNdBi2 structure, as listed in Alexandria via LeMat-Bulk.

V: 31.34 Å³/atom

CIF file:
```
data_CaNdBi2
_space_group_name_H-M_alt 'P 4/m m m'
_space_group_IT_number 123
_space_group_name_Hall '-P 4 2'
_cell_length_a 5.9663
_cell_length_b 5.9663
_cell_length_c 3.5217
_cell_angle_alpha 90.00
_cell_angle_beta 90.00
_cell_angle_gamma 90.00
loop_
_atom_site_label
_atom_site_type_symbol
_atom_site_fract_x
_atom_site_fract_y
_atom_site_fract_z
Ca1 Ca 0.0000 0.0000 0.0000
Nd1 Nd 0.5000 0.5000 0.0000
Bi1 Bi 0.0000 0.5000 0.5000
```

Which structure is most stable? arrangement c, by 24 meV per atom over the runner-up.

Arrangement a

First-principles (PBE) data for a geometry-optimized CaNdBi2 structure, as listed in Alexandria via LeMat-Bulk.

V: 35.86 Å³/atom

CIF file:
```
data_CaNdBi2
_space_group_name_H-M_alt 'R 3 m'
_space_group_IT_number 160
_space_group_name_Hall 'R 3 -2"'
_cell_length_a 4.8109
_cell_length_b 4.8109
_cell_length_c 21.4691
_cell_angle_alpha 90.00
_cell_angle_beta 90.00
_cell_angle_gamma 120.00
loop_
_atom_site_label
_atom_site_type_symbol
_atom_site_fract_x
_atom_site_fract_y
_atom_site_fract_z
Ca1 Ca 0.0000 0.0000 0.0000
Nd1 Nd 0.0000 0.0000 0.8246
Bi1 Bi 0.0000 0.0000 0.4148
Bi2 Bi 0.0000 0.0000 0.5805
```

Arrangement b

First-principles (PBE) data for a geometry-optimized CaNdBi2 structure, as listed in Alexandria via LeMat-Bulk.

V: 34.82 Å³/atom

CIF file:
```
data_CaNdBi2
_space_group_name_H-M_alt 'R -3 m'
_space_group_IT_number 166
_space_group_name_Hall '-R 3 2"'
_cell_length_a 4.5075
_cell_length_b 4.5075
_cell_length_c 23.7441
_cell_angle_alpha 90.00
_cell_angle_beta 90.00
_cell_angle_gamma 120.00
loop_
_atom_site_label
_atom_site_type_symbol
_atom_site_fract_x
_atom_site_fract_y
_atom_site_fract_z
Ca1 Ca 0.0000 0.0000 0.0000
Nd1 Nd 0.0000 0.0000 0.5000
Bi1 Bi 0.0000 0.0000 0.2491
```

Arrangement c

First-principles (PBE) data for a geometry-optimized CaNdBi2 structure, as listed in Alexandria via LeMat-Bulk.

V: 34.72 Å³/atom

CIF file:
```
data_CaNdBi2
_space_group_name_H-M_alt 'P 4/m m m'
_space_group_IT_number 123
_space_group_name_Hall '-P 4 2'
_cell_length_a 4.6135
_cell_length_b 4.6135
_cell_length_c 6.5257
_cell_angle_alpha 90.00
_cell_angle_beta 90.00
_cell_angle_gamma 90.00
loop_
_atom_site_label
_atom_site_type_symbol
_atom_site_fract_x
_atom_site_fract_y
_atom_site_fract_z
Ca1 Ca 0.0000 0.0000 0.0000
Nd1 Nd 0.5000 0.5000 0.5000
Bi1 Bi 0.0000 0.0000 0.5000
Bi2 Bi 0.5000 0.5000 0.0000
```

Which structure is most stable? arrangement b, by 17 meV per atom over the runner-up.

Arrangement a

First-principles (PBE) data for a geometry-optimized CaNi3Bi structure, as listed in Alexandria via LeMat-Bulk.

V: 20.23 Å³/atom

CIF file:
```
data_CaNi3Bi
_space_group_name_H-M_alt 'P m -3 m'
_space_group_IT_number 221
_space_group_name_Hall '-P 4 2 3'
_cell_length_a 4.6596
_cell_length_b 4.6596
_cell_length_c 4.6596
_cell_angle_alpha 90.00
_cell_angle_beta 90.00
_cell_angle_gamma 90.00
loop_
_atom_site_label
_atom_site_type_symbol
_atom_site_fract_x
_atom_site_fract_y
_atom_site_fract_z
Ca1 Ca 0.0000 0.0000 0.0000
Ni1 Ni 0.0000 0.0000 0.5000
Bi1 Bi 0.5000 0.5000 0.5000
```

Arrangement b

First-principles (PBE) data for a geometry-optimized CaNi3Bi structure, as listed in Alexandria via LeMat-Bulk.

V: 22.50 Å³/atom

CIF file:
```
data_CaNi3Bi
_space_group_name_H-M_alt 'P m -3 m'
_space_group_IT_number 221
_space_group_name_Hall '-P 4 2 3'
_cell_length_a 4.8272
_cell_length_b 4.8272
_cell_length_c 4.8272
_cell_angle_alpha 90.00
_cell_angle_beta 90.00
_cell_angle_gamma 90.00
loop_
_atom_site_label
_atom_site_type_symbol
_atom_site_fract_x
_atom_site_fract_y
_atom_site_fract_z
Ca1 Ca 0.0000 0.0000 0.0000
Ni1 Ni 0.0000 0.5000 0.5000
Bi1 Bi 0.5000 0.5000 0.5000
```

Which structure is most stable? arrangement b, by 648 meV per atom over the runner-up.

Arrangement a

First-principles (PBE) data for a geometry-optimized Ca3NiBi structure, as listed in Alexandria via LeMat-Bulk.

V: 41.47 Å³/atom

CIF file:
```
data_Ca3NiBi
_space_group_name_H-M_alt 'P m -3 m'
_space_group_IT_number 221
_space_group_name_Hall '-P 4 2 3'
_cell_length_a 5.9190
_cell_length_b 5.9190
_cell_length_c 5.9190
_cell_angle_alpha 90.00
_cell_angle_beta 90.00
_cell_angle_gamma 90.00
loop_
_atom_site_label
_atom_site_type_symbol
_atom_site_fract_x
_atom_site_fract_y
_atom_site_fract_z
Ca1 Ca 0.0000 0.0000 0.5000
Ni1 Ni 0.5000 0.5000 0.5000
Bi1 Bi 0.0000 0.0000 0.0000
```

Arrangement b

First-principles (PBE) data for a geometry-optimized Ca3NiBi structure, as listed in Alexandria via LeMat-Bulk.

V: 30.22 Å³/atom

CIF file:
```
data_Ca3NiBi
_space_group_name_H-M_alt 'P m -3 m'
_space_group_IT_number 221
_space_group_name_Hall '-P 4 2 3'
_cell_length_a 5.3262
_cell_length_b 5.3262
_cell_length_c 5.3262
_cell_angle_alpha 90.00
_cell_angle_beta 90.00
_cell_angle_gamma 90.00
loop_
_atom_site_label
_atom_site_type_symbol
_atom_site_fract_x
_atom_site_fract_y
_atom_site_fract_z
Ca1 Ca 0.0000 0.0000 0.5000
Ni1 Ni 0.0000 0.0000 0.0000
Bi1 Bi 0.5000 0.5000 0.5000
```

Which structure is most stable? arrangement b, by 654 meV per atom over the runner-up.

Arrangement a

First-principles (PBE) data for a geometry-optimized Ca2Ni2Bi structure, as listed in Alexandria via LeMat-Bulk.

V: 22.01 Å³/atom

CIF file:
```
data_Ca2Ni2Bi
_space_group_name_H-M_alt 'P 4/m b m'
_space_group_IT_number 127
_space_group_name_Hall '-P 4 2ab'
_cell_length_a 7.1137
_cell_length_b 7.1137
_cell_length_c 4.3494
_cell_angle_alpha 90.00
_cell_angle_beta 90.00
_cell_angle_gamma 90.00
loop_
_atom_site_label
_atom_site_type_symbol
_atom_site_fract_x
_atom_site_fract_y
_atom_site_fract_z
Ca1 Ca 0.1777 0.3223 0.0000
Ni1 Ni 0.1158 0.6158 0.5000
Bi1 Bi 0.0000 0.0000 0.5000
```

Arrangement b

First-principles (PBE) data for a geometry-optimized Ca2Ni2Bi structure, as listed in Alexandria via LeMat-Bulk.

V: 22.70 Å³/atom

CIF file:
```
data_Ca2Ni2Bi
_space_group_name_H-M_alt 'P 4/m b m'
_space_group_IT_number 127
_space_group_name_Hall '-P 4 2ab'
_cell_length_a 8.3557
_cell_length_b 8.3557
_cell_length_c 3.2511
_cell_angle_alpha 90.00
_cell_angle_beta 90.00
_cell_angle_gamma 90.00
loop_
_atom_site_label
_atom_site_type_symbol
_atom_site_fract_x
_atom_site_fract_y
_atom_site_fract_z
Ca1 Ca 0.1479 0.3521 0.0000
Ni1 Ni 0.1424 0.6424 0.5000
Bi1 Bi 0.0000 0.0000 0.0000
```

Which structure is most stable? arrangement a, by 400 meV per atom over the runner-up.